1.
Computed, not measured: an optimized crystal structure of SrCaSb2Te at the PBE-GGA level of DFT.

abc: 5.9327 5.9327 6.0266
angles: 90.00 90.00 90.00
Element x y z (fractional)
Te: 0.0000 0.0000 0.5000
Sb: 0.5000 0.0000 0.0000
Sb: 0.0000 0.5000 0.0000
Ca: 0.5000 0.5000 0.5000
Sr: 0.0000 0.0000 0.0000

## Properties
Excess energy over the best structure of this formula in the dataset ... 342 meV per atom
Magnetization ... 0.000 μB per atom
VASP energy ... -2.949 eV per atom
Raw formation energy ... 6.3 kJ per mole of atoms

=====

2.
Computed, not measured: an optimized crystal structure of SrCaTlSb at the PBE-GGA level of DFT.

abc: 5.6398 5.6398 5.6398
angles: 60.00 60.00 60.00
Element x y z (fractional)
Sb: 0.0000 0.0000 0.0000
Sr: 0.7500 0.7500 0.7500
Ca: 0.2500 0.2500 0.2500
Tl: 0.5000 0.5000 0.5000

## Properties
Magnetization ... 0.000 μB per atom
VASP energy ... -3.146 eV per atom
Raw formation energy ... -58.2 kJ per mole of atoms

=====

3.
Computed, not measured: an optimized crystal structure of CaTaSb at the PBE-GGA level of DFT.

abc: 4.8371 4.8371 4.8371
angles: 60.00 60.00 60.00
Element x y z (fractional)
Ta: 0.0000 0.0000 0.0000
Sb: 0.7500 0.7500 0.7500
Ca: 0.5000 0.5000 0.5000

## Properties
Magnetization ... 0.554 μB per atom
VASP energy ... -5.601 eV per atom
Raw formation energy ... 37.8 kJ per mole of atoms